Record 1
Dy3Ni: optimized geometry, PBE.

Computed properties:
**Total energy**: -5.051 eV per atom
**Space-group type**: No. 44
**ΔH_f (0 K)**: -154 meV per atom

Cell: 3.5752 10.8330 5.2907 Å, 90.00 90.00 90.00°
Element x y z (fractional)
Dy  0.0000  0.0000  0.0000
Dy  0.0000  0.1950  0.4998
Dy  0.0000  0.8050  0.4998
Dy  0.5000  0.3050  0.9998
Dy  0.5000  0.5000  0.5000
Dy  0.5000  0.6950  0.9998
Ni  0.0000  0.5000  0.9984
Ni  0.5000  0.0000  0.4984

Record 2
Dy3Ni2: optimized geometry, PBE.

Computed properties:
**Total energy**: -5.366 eV per atom
**Space-group type**: No. 167
**ΔH_f (0 K)**: -293 meV per atom
**Energy above the most stable polymorph in this dataset**: 0.079 eV per atom

Cell: 7.2022 7.2022 7.2022 Å, 55.49 55.49 55.49°
Element x y z (fractional)
Dy  0.1238  0.7500  0.3762
Dy  0.2500  0.6238  0.8762
Dy  0.3762  0.1238  0.7500
Dy  0.6238  0.8762  0.2500
Dy  0.7500  0.3762  0.1238
Dy  0.8762  0.2500  0.6238
Ni  0.1840  0.1840  0.1840
Ni  0.3160  0.3160  0.3160
Ni  0.6840  0.6840  0.6840
Ni  0.8160  0.8160  0.8160

Record 3
Dy4Ni: optimized geometry, PBE.

Computed properties:
**Total energy**: -4.866 eV per atom
**Space-group type**: No. 221
**ΔH_f (0 K)**: -28 meV per atom
**Energy above the most stable polymorph in this dataset**: 0.095 eV per atom

Cell: 5.3019 5.3019 5.3019 Å, 90.00 90.00 90.00°
Element x y z (fractional)
Dy  0.0000  0.0000  0.0000
Dy  0.0000  0.5000  0.5000
Dy  0.5000  0.0000  0.5000
Dy  0.5000  0.5000  0.0000
Ni  0.5000  0.5000  0.5000

Record 4
Dy3Ni: optimized geometry, PBE.

Computed properties:
**Total energy**: -5.035 eV per atom
**Space-group type**: No. 82
**ΔH_f (0 K)**: -138 meV per atom

Cell: 8.7231 8.7231 8.7231 Å, 97.07 97.07 138.93°
Element x y z (fractional)
Dy  0.0967  0.5976  0.6931
Dy  0.1090  0.2502  0.8595
Dy  0.2475  0.3453  0.5007
Dy  0.2532  0.7525  0.0979
Dy  0.3906  0.2495  0.1405
Dy  0.4024  0.0955  0.4991
Dy  0.5964  0.9033  0.5009
Dy  0.6547  0.1553  0.9021
Dy  0.7498  0.6094  0.8588
Dy  0.7505  0.8910  0.1412
Dy  0.8447  0.7468  0.4993
Dy  0.9045  0.4036  0.3069
Ni  0.2497  0.0423  0.7913
Ni  0.2510  0.4585  0.2087
Ni  0.5415  0.7503  0.7925
Ni  0.9577  0.7490  0.2075

Record 5
DyNi12: optimized geometry, PBE.

Computed properties:
**Total energy**: -5.808 eV per atom
**Space-group type**: No. 139
**ΔH_f (0 K)**: -117 meV per atom

Cell: 6.2547 6.2547 6.2547 Å, 98.12 98.12 135.86°
Element x y z (fractional)
Dy  0.0000  0.0000  0.0000
Ni  0.0000  0.0000  0.5000
Ni  0.0000  0.3544  0.3544
Ni  0.0000  0.5000  0.0000
Ni  0.0000  0.6456  0.6456
Ni  0.2765  0.5000  0.7765
Ni  0.3544  0.0000  0.3544
Ni  0.5000  0.0000  0.0000
Ni  0.5000  0.2765  0.7765
Ni  0.5000  0.5000  0.5000
Ni  0.5000  0.7235  0.2235
Ni  0.6456  0.0000  0.6456
Ni  0.7235  0.5000  0.2235

Record 6
Dy2Ni17: optimized geometry, PBE.

Computed properties:
**Total energy**: -5.854 eV per atom
**Space-group type**: No. 166
**ΔH_f (0 K)**: -197 meV per atom
**Energy above the most stable polymorph in this dataset**: 0.003 eV per atom

Cell: 6.2456 6.2456 6.2456 Å, 83.05 83.05 83.05°
Element x y z (fractional)
Dy  0.1602  0.1602  0.1602
Dy  0.8398  0.8398  0.8398
Ni  0.0000  0.5000  0.5000
Ni  0.1542  0.1542  0.6540
Ni  0.1542  0.6540  0.1542
Ni  0.2062  0.5000  0.7938
Ni  0.2062  0.7938  0.5000
Ni  0.3460  0.8458  0.8458
Ni  0.4008  0.4008  0.4008
Ni  0.5000  0.0000  0.5000
Ni  0.5000  0.2062  0.7938
Ni  0.5000  0.5000  0.0000
Ni  0.5000  0.7938  0.2062
Ni  0.5992  0.5992  0.5992
Ni  0.6540  0.1542  0.1542
Ni  0.7938  0.2062  0.5000
Ni  0.7938  0.5000  0.2062
Ni  0.8458  0.3460  0.8458
Ni  0.8458  0.8458  0.3460

Record 7
Dy3Ni2: optimized geometry, PBE.

Computed properties:
**Total energy**: -5.445 eV per atom
**Space-group type**: No. 12
**ΔH_f (0 K)**: -371 meV per atom
**Energy above the most stable polymorph in this dataset**: 0.000 eV per atom

Cell: 6.8985 6.8985 9.5116 Å, 105.03 105.03 30.94°
Element x y z (fractional)
Dy  0.0981  0.0981  0.1734
Dy  0.3568  0.3568  0.1333
Dy  0.3684  0.3684  0.5026
Dy  0.6316  0.6316  0.4974
Dy  0.6432  0.6432  0.8667
Dy  0.9019  0.9019  0.8266
Ni  0.0344  0.0344  0.6441
Ni  0.2426  0.2426  0.7257
Ni  0.7574  0.7574  0.2743
Ni  0.9656  0.9656  0.3559

Record 8
Dy5Ni2: optimized geometry, PBE.

Computed properties:
**Total energy**: -5.212 eV per atom
**Space-group type**: No. 15
**ΔH_f (0 K)**: -273 meV per atom

Cell: 8.7499 8.7499 6.8383 Å, 95.91 95.91 42.54°
Element x y z (fractional)
Dy  0.0657  0.9343  0.7500
Dy  0.1488  0.2836  0.3120
Dy  0.2836  0.1488  0.8120
Dy  0.2959  0.5123  0.0779
Dy  0.4877  0.7041  0.4221
Dy  0.5123  0.2959  0.5779
Dy  0.7041  0.4877  0.9221
Dy  0.7164  0.8512  0.1880
Dy  0.8512  0.7164  0.6880
Dy  0.9343  0.0657  0.2500
Ni  0.0931  0.6869  0.4316
Ni  0.3131  0.9069  0.0684
Ni  0.6869  0.0931  0.9316
Ni  0.9069  0.3131  0.5684